# Th6BiC3S2 GGA-PBE optimized geometry
data_Th6BiC3S2
_chemical_formula_sum 'Th12 Bi2 C6 S4'
_cell_length_a 18.0057
_cell_length_b 3.9017
_cell_length_c 8.3294
_cell_angle_alpha 90.00
_cell_angle_beta 108.50
_cell_angle_gamma 90.00
_symmetry_space_group_name_H-M 'C 1 2/m 1'
_symmetry_Int_Tables_number 12
loop_
_symmetry_equiv_pos_as_xyz
'x,y,z'
'-x,-y,-z'
'-x,y,-z'
'x,-y,z'
'x+1/2,y+1/2,z'
'-x+1/2,-y+1/2,-z'
'-x+1/2,y+1/2,-z'
'x+1/2,-y+1/2,z'
loop_
_atom_site_label
_atom_site_type_symbol
_atom_site_fract_x
_atom_site_fract_y
_atom_site_fract_z
Th1 Th 0.0113 0.0000 0.2110
Th2 Th 0.1587 0.5000 0.1025
Th3 Th 0.1811 0.5000 0.5595
Bi1 Bi 0.0000 0.5000 0.5000
C1 C 0.0000 0.5000 0.0000
C2 C 0.1669 0.0000 0.3213
S1 S 0.1688 0.0000 0.8329
# N(E_F)	0.35	states/eV/atom
# calculated volume	554.9	Å³ per cell
# uncorrected energy	-7.92	eV/atom
# formation energy from raw total energies	-891.1	meV/atom
# magnetization	0.00	μB per cell


# Tl2BiCS GGA-PBE optimized geometry
data_Tl2BiCS
_chemical_formula_sum 'Tl2 Bi1 C1 S1'
_cell_length_a 6.2341
_cell_length_b 6.2341
_cell_length_c 3.4398
_cell_angle_alpha 90.00
_cell_angle_beta 90.00
_cell_angle_gamma 90.00
_symmetry_space_group_name_H-M 'P 4/m m m'
_symmetry_Int_Tables_number 123
_symmetry_space_group_name_Hall '-P 4 2'
loop_
_atom_site_label
_atom_site_type_symbol
_atom_site_fract_x
_atom_site_fract_y
_atom_site_fract_z
Tl1 Tl 0.0000 0.5000 0.0000
Bi1 Bi 0.0000 0.0000 0.5000
C1 C 0.5000 0.5000 0.5000
S1 S 0.5000 0.5000 0.0000
# N(E_F)	0.53	states/eV/atom
# calculated volume	133.7	Å³ per cell
# uncorrected energy	-3.64	eV/atom
# formation energy from raw total energies	756.9	meV/atom
# magnetization	0.00	μB per cell


# YBiCS2 GGA-PBE optimized geometry
data_YBiCS2
_chemical_formula_sum 'Y1 Bi1 C1 S2'
_cell_length_a 5.1015
_cell_length_b 5.1015
_cell_length_c 6.3263
_cell_angle_alpha 90.00
_cell_angle_beta 90.00
_cell_angle_gamma 90.00
_symmetry_space_group_name_H-M 'P 4/m m m'
_symmetry_Int_Tables_number 123
_symmetry_space_group_name_Hall '-P 4 2'
loop_
_atom_site_label
_atom_site_type_symbol
_atom_site_fract_x
_atom_site_fract_y
_atom_site_fract_z
Y1 Y 0.0000 0.0000 0.0000
Bi1 Bi 0.0000 0.0000 0.5000
C1 C 0.5000 0.5000 0.5000
S1 S 0.0000 0.5000 0.0000
# N(E_F)	1.86	states/eV/atom
# calculated volume	164.6	Å³ per cell
# uncorrected energy	-4.35	eV/atom
# formation energy from raw total energies	1210.6	meV/atom
# magnetization	1.92	μB per cell


> The lowest formation energy from raw total energies belongs to which entry?

Th6BiC3S2


> Look up the formation energy from raw total energies of the second one.

756.9 meV/atom


> Which formula does entry 2 have?

Tl2BiCS